Record 1
Density functional theory data (PBE) for a geometry-optimized YReN2F structure.

ΔE to the lowest computed polymorph (meV/atom): 0
Space group: No. 123
Crystal system: tetragonal
Electronic total energy (eV/atom): -8.2500
Formation energy (no corrections) (eV/atom): -0.76

a b c (Å): 3.959 3.959 4.121
angles (deg): 90.00 90.00 90.00
Fractional positions:
Y 0.500 0.500 0.500
Re 0.000 0.000 0.000
N 0.000 0.500 0.000
N 0.500 0.000 0.000
F 0.000 0.000 0.500


Record 2
Density functional theory data (PBE) for a geometry-optimized SiSb2Mo structure.

Space group: No. 44
Crystal system: orthorhombic
Electronic total energy (eV/atom): -5.8338
Formation energy (no corrections) (eV/atom): 0.29

a b c (Å): 7.404 7.404 7.404
angles (deg): 151.87 151.59 40.40
Fractional positions:
Mo 0.322 0.822 0.500
Sb 0.007 0.007 0.000
Sb 0.728 0.228 0.500
Si 0.444 0.444 0.000


Question: Among the records above, which one has the lowest formation energy (no corrections)?
Answer: YReN2F


Question: Number 2 is which compound?
Answer: SiSb2Mo